No. 1
BaCrCl2: optimized geometry, PBE-GGA.

Summary:
formation energy from raw total energies	-3.42	eV per formula unit
ΔE to the lowest computed polymorph	10.6	kJ per mole of atoms

POSCAR file:
```
BaCrCl2
1.0
2.127 1.228 6.730
-2.127 1.228 6.730
0.000 -2.456 6.730
Ba Cr Cl
1 1 2
direct
0.000 0.000 0.000
0.500 0.500 0.500
0.227 0.227 0.227
0.773 0.773 0.773
```

No. 2
TmHfZrSc: optimized geometry, PBE-GGA.

Summary:
formation energy from the elements	0.20	eV per atom

POSCAR file:
```
TmHfZrSc
1.0
0.000 3.661 3.661
3.661 0.000 3.661
3.661 3.661 0.000
Tm Hf Zr Sc
1 1 1 1
direct
0.000 0.000 0.000
0.750 0.750 0.750
0.500 0.500 0.500
0.250 0.250 0.250
```

No. 3
CePuHg4: optimized geometry, PBE-GGA.

Summary:
formation energy from the elements	-0.10	eV per atom
ΔE to the lowest computed polymorph	17.5	kJ per mole of atoms

POSCAR file:
```
CePuHg4
1.0
0.000 4.255 4.255
4.255 0.000 4.255
4.255 4.255 0.000
Ce Pu Hg
1 1 4
direct
0.000 0.000 0.000
0.250 0.250 0.250
0.125 0.625 0.625
0.625 0.125 0.625
0.625 0.625 0.125
0.625 0.625 0.625
```

No. 4
MgTcPt2: optimized geometry, PBE-GGA.

Summary:
formation energy from the elements	-0.35	eV per atom

POSCAR file:
```
MgTcPt2
1.0
2.782 0.000 0.000
0.000 3.987 0.000
-0.017 0.000 5.552
Mg Tc Pt
1 1 2
direct
0.000 0.000 0.000
0.000 0.000 0.500
0.500 0.500 0.257
0.500 0.500 0.743
```

No. 5
RePOsS2: optimized geometry, PBE-GGA.

Summary:
formation energy from raw total energies	7.25	eV per formula unit
ΔE to the lowest computed polymorph	0.0	kJ per mole of atoms

POSCAR file:
```
RePOsS2
1.0
4.480 0.000 0.000
0.000 4.480 0.000
0.000 0.000 4.665
Re P Os S
1 1 1 2
direct
0.000 0.000 0.000
0.000 0.000 0.500
0.500 0.500 0.500
0.000 0.500 0.000
0.500 0.000 0.000
```

No. 6
LiPr2HoSe5: optimized geometry, PBE-GGA.

Summary:
formation energy from raw total energies	-15.86	eV per formula unit

POSCAR file:
```
LiPr2HoSe5
1.0
2.080 -8.680 0.000
2.080 8.680 0.000
0.000 0.000 12.491
Li Pr Ho Se
2 4 2 10
direct
0.014 0.986 0.500
0.986 0.014 0.000
0.374 0.626 0.316
0.392 0.608 0.704
0.608 0.392 0.204
0.626 0.374 0.816
0.303 0.697 0.021
0.697 0.303 0.521
0.000 0.000 0.303
0.000 0.000 0.803
0.138 0.862 0.016
0.192 0.808 0.364
0.215 0.785 0.678
0.452 0.548 0.089
0.548 0.452 0.589
0.785 0.215 0.178
0.808 0.192 0.864
0.862 0.138 0.516
```

No. 7
Pm8Cu2Ir: optimized geometry, PBE-GGA.

Summary:
formation energy from the elements	-0.19	eV per atom

POSCAR file:
```
Pm8Cu2Ir
1.0
8.883 -2.584 0.000
8.883 2.584 0.000
-1.546 0.000 6.671
Pm Cu Ir
8 2 1
direct
0.033 0.033 0.289
0.201 0.201 0.835
0.335 0.335 0.527
0.412 0.412 0.062
0.588 0.588 0.938
0.665 0.665 0.473
0.799 0.799 0.165
0.967 0.967 0.711
0.190 0.190 0.239
0.810 0.810 0.761
0.500 0.500 0.500
```

No. 8
Tm6Sb3AsP2: optimized geometry, PBE-GGA.

Summary:
formation energy from raw total energies	-15.47	eV per formula unit

POSCAR file:
```
Tm6Sb3AsP2
1.0
9.105 -2.063 0.000
9.105 2.063 0.000
-2.090 0.000 8.115
Tm Sb As P
6 3 1 2
direct
0.007 0.007 0.241
0.327 0.327 0.431
0.336 0.336 0.901
0.664 0.664 0.099
0.673 0.673 0.569
0.993 0.993 0.759
0.165 0.165 0.832
0.500 0.500 0.500
0.835 0.835 0.168
0.500 0.500 0.000
0.167 0.167 0.334
0.833 0.833 0.666
```

No. 9
AcAlRh: optimized geometry, PBE-GGA.

Summary:
formation energy from the elements	-0.70	eV per atom
ΔE to the lowest computed polymorph	3.8	kJ per mole of atoms

POSCAR file:
```
AcAlRh
1.0
7.765 0.000 0.000
0.000 4.877 0.000
0.000 0.000 7.217
Ac Al Rh
4 4 4
direct
0.035 0.250 0.180
0.465 0.750 0.680
0.535 0.250 0.320
0.965 0.750 0.820
0.178 0.250 0.612
0.322 0.750 0.112
0.678 0.250 0.888
0.822 0.750 0.388
0.149 0.750 0.428
0.351 0.250 0.928
0.649 0.750 0.072
0.851 0.250 0.572
```

No. 10
Y2MnMo: optimized geometry, PBE-GGA.

Summary:
formation energy from the elements	0.49	eV per atom
ΔE to the lowest computed polymorph	31.2	kJ per mole of atoms

POSCAR file:
```
Y2MnMo
1.0
-2.177 2.177 4.647
2.177 -2.177 4.647
2.177 2.177 -4.647
Y Mn Mo
2 1 1
direct
0.000 0.000 0.000
0.750 0.250 0.500
0.250 0.750 0.500
0.500 0.500 0.000
```

No. 11
Ba2MnSi: optimized geometry, PBE-GGA.

Summary:
formation energy from raw total energies	1.83	eV per formula unit

POSCAR file:
```
Ba2MnSi
1.0
-2.728 2.728 3.824
2.728 -2.728 3.824
2.728 2.728 -3.824
Ba Mn Si
2 1 1
direct
0.000 0.000 0.000
0.750 0.250 0.500
0.250 0.750 0.500
0.500 0.500 0.000
```

No. 12
KPC2: optimized geometry, PBE-GGA.

Summary:
formation energy from the elements	0.84	eV per atom

POSCAR file:
```
KPC2
1.0
-2.772 2.772 3.996
2.772 -2.772 3.996
2.772 2.772 -3.996
K P C
2 2 4
direct
0.375 0.625 0.750
0.625 0.375 0.250
0.125 0.875 0.250
0.875 0.125 0.750
0.000 0.000 0.000
0.000 0.000 0.500
0.000 0.500 0.000
0.500 0.000 0.500
```

Here are the calculated E_tot numbers, same order: -18.66 -28.52 -22.08 -25.45 -30.09 -98.67 -57.15 -70.13 -69.21 -30.96 -16.61 -43.16 (eV for the cell shown).